# 1
The following is a PBE calculation of an optimized crystal structure of TaCo3P2, from Alexandria. Values from VASP.

Results
E_tot	-7.947	eV per atom
total moment	0.0	μB per cell
E_form	-3.69	eV/f.u.

Cell and atoms, written as Quantum ESPRESSO input:
```
&SYSTEM
  ibrav = 0, nat = 18, ntyp = 3
/
ATOMIC_SPECIES
Ta 180.95 Ta.upf
Co 58.93 Co.upf
P 30.97 P.upf
ATOMIC_POSITIONS crystal
Ta 0.000 0.000 0.000
Ta 0.148 0.148 0.682
Ta 0.852 0.852 0.318
Co 0.038 0.038 0.332
Co 0.221 0.221 0.392
Co 0.323 0.323 0.044
Co 0.373 0.373 0.794
Co 0.500 0.500 0.500
Co 0.627 0.627 0.206
Co 0.677 0.677 0.956
Co 0.779 0.779 0.608
Co 0.962 0.962 0.668
P 0.197 0.197 0.132
P 0.361 0.361 0.546
P 0.463 0.463 0.207
P 0.537 0.537 0.793
P 0.639 0.639 0.454
P 0.803 0.803 0.868
CELL_PARAMETERS angstrom
7.214 -1.750 0.000
7.214 1.750 0.000
-2.488 0.000 8.500
```


# 2
The following is a PBE calculation of an optimized crystal structure of Fe2Sn2Pb, from Alexandria. Values from VASP.

Results
E_tot	-5.409	eV per atom
total moment	9.6	μB per cell
E_form	1.60	eV/f.u.
excess energy over the best structure of this formula in the dataset	0.000	eV per atom

Cell and atoms, written as Quantum ESPRESSO input:
```
&SYSTEM
  ibrav = 0, nat = 10, ntyp = 3
/
ATOMIC_SPECIES
Fe 55.84 Fe.upf
Sn 118.71 Sn.upf
Pb 207.20 Pb.upf
ATOMIC_POSITIONS crystal
Fe 0.111 0.389 0.000
Fe 0.389 0.889 0.000
Fe 0.611 0.111 0.000
Fe 0.889 0.611 0.000
Sn 0.171 0.671 0.500
Sn 0.329 0.171 0.500
Sn 0.671 0.829 0.500
Sn 0.829 0.329 0.500
Pb 0.000 0.000 0.000
Pb 0.500 0.500 0.000
CELL_PARAMETERS angstrom
7.766 0.000 0.000
0.000 7.766 0.000
0.000 0.000 3.362
```